Record 1
# MnInWO6 PBE with a Hubbard U optimized geometry
# Uncorrected energy   -6.96 eV per atom
data_MnInWO6
_space_group_name_H-M_alt 'P 42 n m'
_space_group_IT_number 102
_cell_length_a 4.848
_cell_length_b 4.848
_cell_length_c 9.319
_cell_angle_alpha 90.00
_cell_angle_beta 90.00
_cell_angle_gamma 90.00
loop_
_space_group_symop_operation_xyz
'x,y,z'
'-y+1/2,x+1/2,z+1/2'
'-x,-y,z'
'y+1/2,-x+1/2,z+1/2'
'-x+1/2,y+1/2,z+1/2'
'y,x,z'
'x+1/2,-y+1/2,z+1/2'
'-y,-x,z'
loop_
_atom_site_label
_atom_site_type_symbol
_atom_site_fract_x
_atom_site_fract_y
_atom_site_fract_z
Mn1 Mn 0.000 0.000 0.000
In1 In 0.000 0.000 0.668
W1 W 0.000 0.000 0.335
O1 O 0.181 0.181 0.168
O2 O 0.194 0.194 0.480
O3 O 0.208 0.208 0.841



Record 2
# NiO PBE with a Hubbard U optimized geometry
# Uncorrected energy   -4.56 eV per atom
# N(E_F)   0.00 states/eV per cell
data_NiO
_space_group_name_H-M_alt 'I -4 3 m'
_space_group_IT_number 217
_space_group_name_Hall 'I -4 2 3'
_cell_length_a 6.222
_cell_length_b 6.222
_cell_length_c 6.222
_cell_angle_alpha 90.00
_cell_angle_beta 90.00
_cell_angle_gamma 90.00
loop_
_atom_site_label
_atom_site_type_symbol
_atom_site_fract_x
_atom_site_fract_y
_atom_site_fract_z
Ni1 Ni 0.165 0.165 0.835
O1 O 0.159 0.159 0.159